[1]
Below is an optimized crystal structure of LiPaPbO4, with properties calculated at the PBE-GGA level.

Computed properties:
The space-group type is Imma. The energy relative to the elements, uncorrected comes out at -2.50 eV/atom.

Unit cell a=7.6607 b=6.6294 c=7.2155 alpha=122.97 beta=90.00 gamma=125.29
Last column: nearest neighbours and their distance in Å.
Fractional coordinates of all 14 atoms:
Pb (0.0681, 0.1361, 0.8181)  4 O 2.41-2.53
Pb (0.9319, 0.8639, 0.1819)  4 O 2.41-2.53
Li (0.0000, 0.5000, 0.5000)  2 O 2.04
Li (0.5000, 0.5000, 0.5000)  2 O 2.04
O (0.7582, 0.5163, 0.7370)  1 Pa 2.09
O (0.7582, 0.5163, 0.2794)  1 Pa 2.09
O (0.6731, 0.9887, 0.7443)  1 Li 2.04, 2 Pa 2.27
O (0.6844, 0.0113, 0.2557)  1 Li 2.04, 2 Pa 2.27
O (0.2418, 0.4837, 0.2630)  1 Pa 2.09
O (0.3156, 0.9887, 0.7443)  1 Li 2.04, 2 Pa 2.27
O (0.3269, 0.0113, 0.2557)  1 Li 2.04, 2 Pa 2.27
O (0.2418, 0.4837, 0.7206)  1 Pa 2.09
Pa (0.5000, 0.0000, 0.0000)  6 O 2.09-2.27
Pa (0.5000, 0.0000, 0.5000)  6 O 2.09-2.27

[2]
Below is an optimized crystal structure of LiPaPbO5, with properties calculated at the PBE-GGA level.

Computed properties:
The space-group type is C2/c. The energy relative to the elements, uncorrected comes out at -2.09 eV/atom.

Unit cell a=6.1264 b=6.1264 c=7.3377 alpha=95.87 beta=95.87 gamma=118.72
Last column: nearest neighbours and their distance in Å.
Fractional coordinates of all 16 atoms:
Pa (0.0000, 0.0000, 0.0000)  6 O 2.11-2.31
Pa (0.0000, 0.0000, 0.5000)  6 O 2.11-2.31
Pb (0.5730, 0.4270, 0.7500)  4 O 2.12-2.25
Pb (0.4270, 0.5730, 0.2500)  4 O 2.12-2.25
O (0.7286, 0.5684, 0.4494)  1 Li 2.09, 1 Pb 2.25, 1 Pa 2.31
O (0.9689, 0.6638, 0.8284)  1 Li 1.99, 1 Pb 2.12, 1 Pa 2.22
O (0.9010, 0.0990, 0.7500)  2 Pa 2.11
O (0.2714, 0.4316, 0.5506)  1 Li 2.09, 1 Pb 2.25, 1 Pa 2.31
O (0.4316, 0.2714, 0.0506)  1 Li 2.09, 1 Pb 2.25, 1 Pa 2.31
O (0.0990, 0.9010, 0.2500)  2 Pa 2.11
O (0.5684, 0.7286, 0.9494)  1 Li 2.09, 1 Pb 2.25, 1 Pa 2.31
O (0.0311, 0.3362, 0.1716)  1 Li 1.99, 1 Pb 2.12, 1 Pa 2.22
O (0.6638, 0.9689, 0.3284)  1 Li 1.99, 1 Pb 2.12, 1 Pa 2.22
O (0.3362, 0.0311, 0.6716)  1 Li 1.99, 1 Pb 2.12, 1 Pa 2.22
Li (0.7111, 0.2889, 0.2500)  4 O 1.99-2.09
Li (0.2889, 0.7111, 0.7500)  4 O 1.99-2.09

[3]
Below is an optimized crystal structure of Li2PaPb2O6, with properties calculated at the PBE-GGA level.

Computed properties:
The space-group type is R-3m. The energy relative to the elements, uncorrected comes out at -1.92 eV/atom.

Unit cell a=6.0179 b=6.0179 c=6.4847 alpha=62.35 beta=62.35 gamma=60.00
Last column: nearest neighbours and their distance in Å.
Fractional coordinates of all 11 atoms:
O (0.7834, 0.2416, 0.7333)  1 Li 1.88
O (0.2416, 0.7834, 0.7333)  1 Li 1.88
O (0.2416, 0.2416, 0.7333)  1 Li 1.88
O (0.7584, 0.7584, 0.2667)  1 Li 1.88
O (0.7584, 0.2166, 0.2667)  1 Li 1.88
O (0.2166, 0.7584, 0.2667)  1 Li 1.88
Pb (0.2005, 0.2005, 0.3985)  3 O 2.43
Pb (0.7995, 0.7995, 0.6015)  3 O 2.43
Li (0.5813, 0.5813, 0.2560)  3 O 1.88
Li (0.4187, 0.4187, 0.7440)  3 O 1.88
Pa (0.0000, 0.0000, 0.0000)  6 O 2.16

[4]
Below is an optimized crystal structure of LiPaPb2O6, with properties calculated at the PBE-GGA level.

Computed properties:
The space-group type is R3. The energy relative to the elements, uncorrected comes out at -1.94 eV/atom.

Unit cell a=5.9205 b=5.9207 c=6.2283 alpha=61.62 beta=61.62 gamma=60.00
Last column: nearest neighbours and their distance in Å.
Fractional coordinates of all 10 atoms:
O (0.6220, 0.1705, 0.2500)  1 Li 2.06, 1 Pa 2.24
O (0.7705, 0.0637, 0.7420)  1 Pa 2.16, 1 Pb 2.18
O (0.9574, 0.6221, 0.2500)  1 Li 2.06, 1 Pa 2.24
O (0.1705, 0.9574, 0.2500)  1 Li 2.06, 1 Pa 2.24
O (0.4238, 0.7704, 0.7421)  1 Pa 2.16, 1 Pb 2.18
O (0.0637, 0.4238, 0.7421)  1 Pa 2.16, 1 Pb 2.18
Pb (0.5354, 0.5354, 0.3938)  3 O 2.45-2.46
Pb (0.0222, 0.0221, 0.9336)  6 O 2.18-2.32
Li (0.2777, 0.2778, 0.1668)  3 O 2.06
Pa (0.8184, 0.8184, 0.5448)  6 O 2.16-2.24

[5]
Below is an optimized crystal structure of LiPaPbO6, with properties calculated at the PBE-GGA level.

Computed properties:
The space-group type is P312. The energy relative to the elements, uncorrected comes out at -1.73 eV/atom.

Unit cell a=4.9041 b=5.3956 c=5.3956 alpha=120.00 beta=90.00 gamma=90.00
Last column: nearest neighbours and their distance in Å.
Fractional coordinates of all 9 atoms:
O (0.7449, 0.0048, 0.3406)  1 Pa 2.16, 1 Li 2.17, 1 Pb 2.18
O (0.2551, 0.0048, 0.6641)  1 Pa 2.16, 1 Li 2.17, 1 Pb 2.18
O (0.7449, 0.3359, 0.9952)  1 Pa 2.16, 1 Li 2.17, 1 Pb 2.18
O (0.7449, 0.6594, 0.6641)  1 Pa 2.16, 1 Li 2.17, 1 Pb 2.18
O (0.2551, 0.6594, 0.9952)  1 Pa 2.16, 1 Li 2.17, 1 Pb 2.18
O (0.2551, 0.3359, 0.3406)  1 Pa 2.16, 1 Li 2.17, 1 Pb 2.18
Li (0.5000, 0.6667, 0.3333)  6 O 2.17
Pa (0.0000, 0.3333, 0.6667)  6 O 2.16
Pb (0.5000, 0.0000, 0.0000)  6 O 2.18

[6]
Below is an optimized crystal structure of Li2PaPbO6, with properties calculated at the PBE-GGA level.

Computed properties:
The space-group type is R3. The energy relative to the elements, uncorrected comes out at -2.03 eV/atom.

Unit cell a=5.4714 b=5.4716 c=5.9223 alpha=62.49 beta=62.47 gamma=60.01
Last column: nearest neighbours and their distance in Å.
Fractional coordinates of all 10 atoms:
O (0.4216, 0.7179, 0.7722)  1 Li 2.02, 1 Pa 2.15, 1 Pb 2.21
O (0.0884, 0.4217, 0.7722)  1 Li 2.02, 1 Pa 2.15, 1 Pb 2.21
O (0.2124, 0.9168, 0.2756)  1 Li 2.00, 1 Pa 2.16, 1 Pb 2.18
O (0.9168, 0.5950, 0.2758)  1 Li 2.00, 1 Pa 2.16, 1 Pb 2.18
O (0.5949, 0.2123, 0.2758)  1 Li 2.00, 1 Pa 2.16, 1 Pb 2.18
O (0.7180, 0.0883, 0.7722)  1 Li 2.02, 1 Pa 2.15, 1 Pb 2.21
Li (0.5390, 0.5391, 0.3825)  3 O 2.00
Li (0.0354, 0.0354, 0.8940)  3 O 2.02
Pa (0.8180, 0.8180, 0.5459)  6 O 2.15-2.16
Pb (0.3170, 0.3170, 0.0489)  6 O 2.18-2.21

[7]
Below is an optimized crystal structure of LiPaPdO4, with properties calculated at the PBE-GGA level.

Computed properties:
The space-group type is Imma. The energy relative to the elements, uncorrected comes out at -2.25 eV/atom.

Unit cell a=5.9393 b=6.7443 c=6.8149 alpha=120.35 beta=90.00 gamma=116.12
Last column: nearest neighbours and their distance in Å.
Fractional coordinates of all 14 atoms:
O (0.7230, 0.4460, 0.2666)  2 Pd 2.06, 1 Pa 2.25
O (0.7230, 0.4460, 0.6795)  2 Pd 2.06, 1 Pa 2.25
O (0.3201, 0.0833, 0.7916)  1 Li 2.01, 2 Pa 2.19
O (0.2368, 0.9167, 0.2084)  1 Li 2.01, 2 Pa 2.19
O (0.6799, 0.9167, 0.2084)  1 Li 2.01, 2 Pa 2.19
O (0.7632, 0.0833, 0.7916)  1 Li 2.01, 2 Pa 2.19
O (0.2770, 0.5540, 0.3205)  2 Pd 2.06, 1 Pa 2.25
O (0.2770, 0.5540, 0.7335)  2 Pd 2.06, 1 Pa 2.25
Pd (0.0000, 0.5000, 0.5000)  4 O 2.06
Pd (0.5000, 0.5000, 0.5000)  4 O 2.06
Pa (0.5000, 0.0000, 0.5000)  6 O 2.19-2.25
Pa (0.5000, 0.0000, 0.0000)  6 O 2.19-2.25
Li (0.8447, 0.6894, 0.0947)  2 O 2.01
Li (0.1553, 0.3106, 0.9053)  2 O 2.01

[8]
Below is an optimized crystal structure of LiPaPdO6, with properties calculated at the PBE-GGA level.

Computed properties:
The space-group type is P312. The energy relative to the elements, uncorrected comes out at -1.64 eV/atom.

Unit cell a=4.7642 b=5.1637 c=5.1637 alpha=120.00 beta=90.00 gamma=90.00
Last column: nearest neighbours and their distance in Å.
Fractional coordinates of all 9 atoms:
O (0.2631, 0.3169, 0.3164)  1 Pd 1.99, 1 Li 2.09, 1 Pa 2.17
O (0.7369, 0.3169, 0.0005)  1 Pd 1.99, 1 Li 2.09, 1 Pa 2.17
O (0.2631, 0.6836, 0.0005)  1 Pd 1.99, 1 Li 2.09, 1 Pa 2.17
O (0.7369, 0.9995, 0.3164)  1 Pd 1.99, 1 Li 2.09, 1 Pa 2.17
O (0.7369, 0.6836, 0.6831)  1 Pd 1.99, 1 Li 2.09, 1 Pa 2.17
O (0.2631, 0.9995, 0.6831)  1 Pd 1.99, 1 Li 2.09, 1 Pa 2.17
Li (0.5000, 0.6667, 0.3333)  6 O 2.09
Pd (0.5000, 0.0000, 0.0000)  6 O 1.99
Pa (0.0000, 0.3333, 0.6667)  6 O 2.17

[9]
Below is an optimized crystal structure of LiPaPd2O8, with properties calculated at the PBE-GGA level.

Computed properties:
The space-group type is I-4m2. The energy relative to the elements, uncorrected comes out at -1.03 eV/atom.

Unit cell a=6.0266 b=6.0266 c=6.0266 alpha=107.85 beta=107.85 gamma=112.77
Last column: nearest neighbours and their distance in Å.
Fractional coordinates of all 12 atoms:
Li (0.2500, 0.7500, 0.5000)  8 O 2.31-2.36
O (0.9562, 0.6415, 0.6853)  1 Pd 1.90
O (0.5414, 0.7175, 0.8238)  1 Pd 1.92
O (0.9562, 0.2709, 0.3147)  1 Pd 1.90
O (0.8937, 0.7175, 0.1762)  1 Pd 1.92
O (0.7291, 0.0438, 0.6853)  1 Pd 1.90
O (0.2825, 0.4586, 0.1762)  1 Pd 1.92
O (0.3585, 0.0438, 0.3147)  1 Pd 1.90
O (0.2825, 0.1063, 0.8238)  1 Pd 1.92
Pd (0.7500, 0.2500, 0.5000)  4 O 1.90
Pd (0.5000, 0.5000, 0.0000)  4 O 1.92
Pa (0.0000, 0.0000, 0.0000)  8 O 2.25-2.26

[10]
Below is an optimized crystal structure of Li4PrPa3O12, with properties calculated at the PBE-GGA level.

Computed properties:
The space-group type is R32. The energy relative to the elements, uncorrected comes out at -2.79 eV/atom.

Unit cell a=7.0419 b=7.0419 c=7.0419 alpha=106.67 beta=106.67 gamma=106.67
Last column: nearest neighbours and their distance in Å.
Fractional coordinates of all 20 atoms:
O (0.6692, 0.7754, 0.0253)  1 Li 1.93, 1 Pa 2.12
O (0.7754, 0.0253, 0.6692)  1 Li 1.93, 1 Pa 2.12
O (0.1114, 0.8886, 0.5000)  1 Li 1.87
O (0.0253, 0.6692, 0.7754)  1 Li 1.93, 1 Pa 2.12
O (0.2246, 0.3308, 0.9747)  1 Li 1.93, 1 Pa 2.12
O (0.6616, 0.5000, 0.3384)  1 Li 1.83
O (0.9747, 0.2246, 0.3308)  1 Li 1.93, 1 Pa 2.12
O (0.5000, 0.3384, 0.6616)  1 Li 1.83
O (0.8886, 0.5000, 0.1114)  1 Li 1.87
O (0.3384, 0.6616, 0.5000)  1 Li 1.83
O (0.3308, 0.9747, 0.2246)  1 Li 1.93, 1 Pa 2.12
O (0.5000, 0.1114, 0.8886)  1 Li 1.87
Li (0.5000, 0.5000, 0.5000)  3 O 1.83
Li (0.5000, 0.9461, 0.0539)  3 O 1.87-1.93
Li (0.0539, 0.5000, 0.9461)  3 O 1.87-1.93
Li (0.9461, 0.0539, 0.5000)  3 O 1.87-1.93
Pa (0.0000, 0.5479, 0.4521)  6 O 2.12-2.19
Pa (0.4521, 0.0000, 0.5479)  6 O 2.12-2.19
Pa (0.5479, 0.4521, 0.0000)  6 O 2.12-2.19
Pr (0.0000, 0.0000, 0.0000)  6 O 2.50

Size of the total moment per entry: 0.00 0.00 0.53 0.00 2.03 0.00 0.00 1.98 0.00 0.00 μB per formula unit